Record 1
# CdHg2BiPb

A relaxed structure of CdHg2BiPb (PBE-GGA, the Alexandria database).

As for the symmetry: P2_1/m (11). The calculation puts the total magnetization at 0.000 μB per formula unit. For the formation enthalpy at 0 K, the calculation gives 0.056 eV per atom. The calculation puts the volume at 284 Å³ per cell. The calculation puts the total energy at -1.77 eV per atom.

Cell: 8.8165 3.3751 9.9286 Å, 90.00 106.26 90.00°
With the nearest neighbours (Å) after each atom.
Sites, in units of the cell vectors:
Cd  0.2116  0.2500  0.4942  6 Hg 2.98-3.15
Cd  0.7884  0.7500  0.5058  6 Hg 2.98-3.15
Hg  0.0444  0.2500  0.7165  3 Cd 2.98-3.11, 1 Bi 3.18
Hg  0.4301  0.7500  0.3554  1 Bi 3.09, 3 Cd 3.09-3.15, 4 Hg 3.26-3.38, 2 Pb 3.40
Hg  0.5699  0.2500  0.6446  1 Bi 3.09, 3 Cd 3.09-3.15, 4 Hg 3.26-3.38, 2 Pb 3.40
Hg  0.9556  0.7500  0.2835  3 Cd 2.98-3.11, 1 Bi 3.18
Bi  0.1693  0.7500  0.0734  2 Hg 3.09-3.18, 1 Pb 3.30, 4 Bi 3.38
Bi  0.8307  0.2500  0.9266  2 Hg 3.09-3.18, 1 Pb 3.30, 4 Bi 3.38
Pb  0.3842  0.7500  0.8497  1 Bi 3.30, 4 Hg 3.37-3.40, 4 Pb 3.38-3.54
Pb  0.6158  0.2500  0.1503  1 Bi 3.30, 4 Hg 3.37-3.40, 4 Pb 3.38-3.54



Record 2
# NaFePd3

A relaxed structure of NaFePd3 (PBE-GGA, the Alexandria database).

As for the symmetry: Pm-3m (221). The calculation puts the total magnetization at 0.301 μB per formula unit. For the formation enthalpy at 0 K, the calculation gives 1.533 eV per atom. Its distance to the lowest polymorph of the same formula is 1111 meV per atom. The calculation puts the volume at 94 Å³ per cell. The calculation puts the total energy at -3.54 eV per atom.

Cell: 4.5425 4.5425 4.5425 Å, 90.00 90.00 90.00°
With the nearest neighbours (Å) after each atom.
Sites, in units of the cell vectors:
Na  0.0000  0.0000  0.0000  6 Pd 2.27
Fe  0.5000  0.5000  0.5000  12 Pd 3.21
Pd  0.0000  0.0000  0.5000  2 Na 2.27
Pd  0.0000  0.5000  0.0000  2 Na 2.27
Pd  0.5000  0.0000  0.0000  2 Na 2.27



Record 3
# CrBi2P2

A relaxed structure of CrBi2P2 (PBE-GGA, the Alexandria database).

As for the symmetry: P4/mbm (127). The calculation puts the total magnetization at 0.347 μB per formula unit. For the formation enthalpy at 0 K, the calculation gives 0.943 eV per atom. Its distance to the lowest polymorph of the same formula is 560 meV per atom. The calculation puts the volume at 231 Å³ per cell. The calculation puts the total energy at -4.70 eV per atom.

Cell: 7.6335 7.6335 3.9610 Å, 90.00 90.00 90.00°
With the nearest neighbours (Å) after each atom.
Sites, in units of the cell vectors:
Cr  0.0000  0.0000  0.0000  4 Bi 2.89
Cr  0.5000  0.5000  0.0000  4 Bi 2.89
Bi  0.1545  0.3455  0.0000  2 P 2.68, 2 Cr 2.89
Bi  0.3455  0.8455  0.0000  2 P 2.68, 2 Cr 2.89
Bi  0.6545  0.1545  0.0000  2 P 2.68, 2 Cr 2.89
Bi  0.8455  0.6545  0.0000  2 P 2.68, 2 Cr 2.89
P  0.1777  0.6777  0.5000  2 Bi 2.68
P  0.3223  0.1777  0.5000  2 Bi 2.68
P  0.6777  0.8223  0.5000  2 Bi 2.68
P  0.8223  0.3223  0.5000  2 Bi 2.68



Record 4
# Sm2DySi2

A relaxed structure of Sm2DySi2 (PBE-GGA, the Alexandria database).

As for the symmetry: C2/m (12). The calculation puts the total magnetization at 0.000 μB per formula unit. Its distance to the lowest polymorph of the same formula is 81 meV per atom. The calculation puts the volume at 254 Å³ per cell. The calculation puts the total energy at -5.59 eV per atom. The raw formation energy is -3.08 eV/f.u.

Cell: 6.5381 6.5381 10.6020 Å, 114.94 114.94 38.76°
With the nearest neighbours (Å) after each atom.
Sites, in units of the cell vectors:
Sm  0.0156  0.0156  0.1883  6 Si 3.08-3.20
Sm  0.1792  0.1792  0.5890  4 Si 3.05-3.30
Sm  0.8208  0.8208  0.4110  4 Si 3.05-3.30
Sm  0.9844  0.9844  0.8117  6 Si 3.08-3.20
Dy  0.2770  0.2770  0.1361  4 Si 2.85-3.00
Dy  0.7230  0.7230  0.8639  4 Si 2.85-3.00
Si  0.3903  0.3903  0.9436  1 Si 2.42
Si  0.4846  0.4846  0.6048  1 Si 2.42
Si  0.5154  0.5154  0.3952  1 Si 2.42
Si  0.6097  0.6097  0.0564  1 Si 2.42



Record 5
# UAg6F12

A relaxed structure of UAg6F12 (PBE-GGA, the Alexandria database).

As for the symmetry: R-3 (148). The calculation puts the total magnetization at 0.951 μB per formula unit. The calculation puts the volume at 334 Å³ per cell. The calculation puts the total energy at -4.49 eV per atom. The raw formation energy is -34.48 eV/f.u.

Cell: 7.0140 7.0140 7.0140 Å, 98.00 98.00 98.00°
With the nearest neighbours (Å) after each atom.
Sites, in units of the cell vectors:
U  0.0000  0.0000  0.0000  6 F 2.08
Ag  0.1534  0.6033  0.3464  4 F 2.28-2.50
Ag  0.3464  0.1534  0.6033  4 F 2.28-2.50
Ag  0.3967  0.6536  0.8466  4 F 2.28-2.50
Ag  0.6033  0.3464  0.1534  4 F 2.28-2.50
Ag  0.6536  0.8466  0.3967  4 F 2.28-2.50
Ag  0.8466  0.3967  0.6536  4 F 2.28-2.50
F  0.0232  0.7084  0.9162  1 U 2.08
F  0.0838  0.9768  0.2916  1 U 2.08
F  0.1650  0.3989  0.6076  4 Ag 2.28-2.50
F  0.2916  0.0838  0.9768  1 U 2.08
F  0.3924  0.8350  0.6011  4 Ag 2.28-2.50
F  0.3989  0.6076  0.1650  4 Ag 2.28-2.50
F  0.6011  0.3924  0.8350  4 Ag 2.28-2.50
F  0.6076  0.1650  0.3989  4 Ag 2.28-2.50
F  0.7084  0.9162  0.0232  1 U 2.08
F  0.8350  0.6011  0.3924  4 Ag 2.28-2.50
F  0.9162  0.0232  0.7084  1 U 2.08
F  0.9768  0.2916  0.0838  1 U 2.08



Record 6
# TbPm2Ru

A relaxed structure of TbPm2Ru (PBE-GGA, the Alexandria database).

As for the symmetry: Cmcm (63). The calculation puts the total magnetization at 0.000 μB per formula unit. For the formation enthalpy at 0 K, the calculation gives -0.219 eV per atom. Its distance to the lowest polymorph of the same formula is 21 meV per atom. The calculation puts the volume at 226 Å³ per cell. The calculation puts the total energy at -6.07 eV per atom.

Cell: 6.3616 6.3616 9.3382 Å, 90.00 90.00 143.33°
With the nearest neighbours (Å) after each atom.
Sites, in units of the cell vectors:
Tb  0.0803  0.9197  0.7500  2 Ru 2.79
Tb  0.9197  0.0803  0.2500  2 Ru 2.79
Pm  0.3585  0.6415  0.5686  3 Ru 2.98-3.21
Pm  0.3585  0.6415  0.9314  3 Ru 2.98-3.21
Pm  0.6415  0.3585  0.0686  3 Ru 2.98-3.21
Pm  0.6415  0.3585  0.4314  3 Ru 2.98-3.21
Ru  0.2583  0.7417  0.2500  2 Tb 2.79, 4 Pm 2.98
Ru  0.7417  0.2583  0.7500  2 Tb 2.79, 4 Pm 2.98



Repeat the second record exactly.
# NaFePd3

A relaxed structure of NaFePd3 (PBE-GGA, the Alexandria database).

As for the symmetry: Pm-3m (221). The calculation puts the total magnetization at 0.301 μB per formula unit. For the formation enthalpy at 0 K, the calculation gives 1.533 eV per atom. Its distance to the lowest polymorph of the same formula is 1111 meV per atom. The calculation puts the volume at 94 Å³ per cell. The calculation puts the total energy at -3.54 eV per atom.

Cell: 4.5425 4.5425 4.5425 Å, 90.00 90.00 90.00°
With the nearest neighbours (Å) after each atom.
Sites, in units of the cell vectors:
Na  0.0000  0.0000  0.0000  6 Pd 2.27
Fe  0.5000  0.5000  0.5000  12 Pd 3.21
Pd  0.0000  0.0000  0.5000  2 Na 2.27
Pd  0.0000  0.5000  0.0000  2 Na 2.27
Pd  0.5000  0.0000  0.0000  2 Na 2.27



Question: The lowest volume belongs to which entry?
Answer: NaFePd3